Record 1
# K5CrO4 (PBE+U, relaxed)
# E	-4.5831	eV/atom
data_K5CrO4
_chemical_formula_sum 'K10 Cr2 O8'
_cell_length_a 7.995
_cell_length_b 8.446
_cell_length_c 6.162
_cell_angle_alpha 90.00
_cell_angle_beta 90.00
_cell_angle_gamma 90.00
_space_group_name_H-M_alt 'P m m n'
_space_group_IT_number 59
loop_
_space_group_symop_operation_xyz
'x,y,z'
'-x,-y,-z'
'-x+1/2,-y+1/2,z'
'x+1/2,y+1/2,-z'
'x+1/2,-y,-z'
'-x+1/2,y,z'
'-x,y+1/2,-z'
'x,-y+1/2,z'
loop_
_atom_site_label
_atom_site_fract_x
_atom_site_fract_y
_atom_site_fract_z
K1 0.014 0.059 0.240
K2 0.250 0.750 0.344
Cr1 0.250 0.250 0.712
O1 0.042 0.250 0.868
O2 0.250 0.041 0.555



Record 2
# K3Cr2O8 (PBE+U, relaxed)
# E	-5.9290	eV/atom
data_K3Cr2O8
_chemical_formula_sum 'K9 Cr6 O24'
_cell_length_a 5.9353
_cell_length_b 5.9353
_cell_length_c 21.6137
_cell_angle_alpha 90.00
_cell_angle_beta 90.00
_cell_angle_gamma 120.00
_space_group_name_H-M_alt 'R -3 m'
_space_group_IT_number 166
_space_group_name_Hall '-R 3 2"'
loop_
_atom_site_label
_atom_site_fract_x
_atom_site_fract_y
_atom_site_fract_z
K1 0.0000 0.0000 0.0000
K2 0.0000 0.0000 0.2023
Cr1 0.0000 0.0000 0.4069
O1 0.0000 0.0000 0.3299
O2 0.0276 0.5138 0.2342



Record 3
# KCr20O40 (PBE+U, relaxed)
# E	-7.3298	eV/atom
data_KCr20O40
_chemical_formula_sum 'K2 Cr40 O80'
_cell_length_a 9.952
_cell_length_b 9.952
_cell_length_c 14.982
_cell_angle_alpha 90.00
_cell_angle_beta 90.00
_cell_angle_gamma 90.00
_space_group_name_H-M_alt 'I 4/m'
_space_group_IT_number 87
_space_group_name_Hall '-I 4'
loop_
_atom_site_label
_atom_site_fract_x
_atom_site_fract_y
_atom_site_fract_z
K1 0.000 0.000 0.000
Cr1 0.155 0.662 0.200
Cr2 0.155 0.662 0.400
Cr3 0.157 0.661 0.000
O1 0.035 0.335 0.000
O2 0.035 0.337 0.400
O3 0.036 0.337 0.200
O4 0.157 0.793 0.099
O5 0.159 0.790 0.500
O6 0.160 0.791 0.300



Record 4
# KCr3O (PBE+U, relaxed)
# offset from the most stable computed form	1694	meV/atom
data_KCr3O
_chemical_formula_sum 'K1 Cr3 O1'
_cell_length_a 5.820
_cell_length_b 5.820
_cell_length_c 5.820
_cell_angle_alpha 90.00
_cell_angle_beta 90.00
_cell_angle_gamma 90.00
_space_group_name_H-M_alt 'P m -3 m'
_space_group_IT_number 221
_space_group_name_Hall '-P 4 2 3'
loop_
_atom_site_label
_atom_site_fract_x
_atom_site_fract_y
_atom_site_fract_z
K1 0.000 0.000 0.000
Cr1 0.000 0.000 0.500
O1 0.500 0.500 0.500



Record 5
# K2Cr3O9 (PBE+U, relaxed)
# E	-6.4597	eV/atom
data_K2Cr3O9
_chemical_formula_sum 'K4 Cr6 O18'
_cell_length_a 8.784
_cell_length_b 5.919
_cell_length_c 9.576
_cell_angle_alpha 90.00
_cell_angle_beta 115.92
_cell_angle_gamma 90.00
_space_group_name_H-M_alt 'P 1 21/m 1'
_space_group_IT_number 11
loop_
_space_group_symop_operation_xyz
'x,y,z'
'-x,-y,-z'
'-x,y+1/2,-z'
'x,-y+1/2,z'
loop_
_atom_site_label
_atom_site_fract_x
_atom_site_fract_y
_atom_site_fract_z
K1 0.186 0.250 0.240
K2 0.205 0.750 0.585
Cr1 0.100 0.250 0.805
Cr2 0.483 0.750 0.296
Cr3 0.500 0.000 0.000
O1 0.022 0.250 0.930
O2 0.032 0.026 0.695
O3 0.319 0.250 0.574
O4 0.328 0.250 0.904
O5 0.359 0.750 0.382
O6 0.363 0.750 0.910
O7 0.441 0.518 0.178



Record 6
# K3Cr5O12 (PBE+U, relaxed)
# E	-6.6051	eV/atom
data_K3Cr5O12
_chemical_formula_sum 'K24 Cr40 O96'
_cell_length_a 12.845
_cell_length_b 12.845
_cell_length_c 12.845
_cell_angle_alpha 90.00
_cell_angle_beta 90.00
_cell_angle_gamma 90.00
_space_group_name_H-M_alt 'I a -3 d'
_space_group_IT_number 230
_space_group_name_Hall '-I 4bd 2c 3'
loop_
_atom_site_label
_atom_site_fract_x
_atom_site_fract_y
_atom_site_fract_z
K1 0.000 0.250 0.125
Cr1 0.000 0.000 0.000
Cr2 0.000 0.250 0.375
O1 0.040 0.149 0.956



Record 7
# K3CrO8 (PBE+U, relaxed)
# E	-5.2333	eV/atom
data_K3CrO8
_chemical_formula_sum 'K6 Cr2 O16'
_cell_length_a 6.812
_cell_length_b 6.812
_cell_length_c 7.819
_cell_angle_alpha 90.00
_cell_angle_beta 90.00
_cell_angle_gamma 90.00
_space_group_name_H-M_alt 'I -4 2 m'
_space_group_IT_number 121
_space_group_name_Hall 'I -4 2'
loop_
_atom_site_label
_atom_site_fract_x
_atom_site_fract_y
_atom_site_fract_z
K1 0.000 0.000 0.000
K2 0.000 0.500 0.250
Cr1 0.000 0.000 0.500
O1 0.134 0.134 0.321
O2 0.207 0.207 0.484



Record 8
# K8CrO6 (PBE+U, relaxed)
# E	-4.3377	eV/atom
data_K8CrO6
_chemical_formula_sum 'K16 Cr2 O12'
_cell_length_a 7.584
_cell_length_b 7.175
_cell_length_c 11.875
_cell_angle_alpha 90.00
_cell_angle_beta 90.00
_cell_angle_gamma 90.00
_space_group_name_H-M_alt 'P m n 21'
_space_group_IT_number 31
loop_
_space_group_symop_operation_xyz
'x,y,z'
'-x+1/2,-y,z+1/2'
'-x,y,z'
'x+1/2,-y,z+1/2'
loop_
_atom_site_label
_atom_site_fract_x
_atom_site_fract_y
_atom_site_fract_z
K1 0.000 0.090 0.065
K2 0.000 0.123 0.602
K3 0.204 0.497 0.761
K4 0.222 0.627 0.500
K5 0.223 0.959 0.816
Cr1 0.000 0.684 0.098
O1 0.000 0.228 0.854
O2 0.000 0.438 0.138
O3 0.000 0.759 0.656
O4 0.000 0.816 0.228
O5 0.198 0.736 0.018



Record 9
# KCr2O (PBE+U, relaxed)
# E	-5.7373	eV/atom
data_KCr2O
_chemical_formula_sum 'K4 Cr8 O4'
_cell_length_a 6.647
_cell_length_b 6.647
_cell_length_c 9.383
_cell_angle_alpha 90.00
_cell_angle_beta 90.00
_cell_angle_gamma 90.00
_space_group_name_H-M_alt 'I 41/a m d'
_space_group_IT_number 141
loop_
_space_group_symop_operation_xyz
'x,y,z'
'-x,-y,-z'
'-y+1/4,x+3/4,z+1/4'
'y+1/4,-x+3/4,-z+1/4'
'-x+1/2,-y,z+1/2'
'x+1/2,y,-z+1/2'
'y+1/4,-x+1/4,z+3/4'
'-y+1/4,x+1/4,-z+3/4'
'x,-y,-z'
'-x,y,z'
'-y+1/4,-x+1/4,-z+3/4'
'y+1/4,x+1/4,z+3/4'
'-x+1/2,y,-z+1/2'
'x+1/2,-y,z+1/2'
'y+1/4,x+3/4,-z+1/4'
'-y+1/4,-x+3/4,z+1/4'
'x+1/2,y+1/2,z+1/2'
'-x+1/2,-y+1/2,-z+1/2'
'-y+3/4,x+1/4,z+3/4'
'y+3/4,-x+1/4,-z+3/4'
'-x,-y+1/2,z'
'x,y+1/2,-z'
'y+3/4,-x+3/4,z+1/4'
'-y+3/4,x+3/4,-z+1/4'
'x+1/2,-y+1/2,-z+1/2'
'-x+1/2,y+1/2,z+1/2'
'-y+3/4,-x+3/4,-z+1/4'
'y+3/4,x+3/4,z+1/4'
'-x,y+1/2,-z'
'x,-y+1/2,z'
'y+3/4,x+1/4,-z+3/4'
'-y+3/4,-x+1/4,z+3/4'
loop_
_atom_site_label
_atom_site_fract_x
_atom_site_fract_y
_atom_site_fract_z
K1 0.000 0.250 0.375
Cr1 0.000 0.000 0.000
O1 0.000 0.250 0.875



Record 10
# K2Cr2O5 (PBE+U, relaxed)
# E	-6.1624	eV/atom
data_K2Cr2O5
_chemical_formula_sum 'K8 Cr8 O20'
_cell_length_a 14.132
_cell_length_b 6.275
_cell_length_c 5.932
_cell_angle_alpha 90.00
_cell_angle_beta 90.00
_cell_angle_gamma 90.00
_space_group_name_H-M_alt 'I m a 2'
_space_group_IT_number 46
loop_
_space_group_symop_operation_xyz
'x,y,z'
'-x,-y,z'
'-x+1/2,y,z'
'x+1/2,-y,z'
'x+1/2,y+1/2,z+1/2'
'-x+1/2,-y+1/2,z+1/2'
'-x,y+1/2,z+1/2'
'x,-y+1/2,z+1/2'
loop_
_atom_site_label
_atom_site_fract_x
_atom_site_fract_y
_atom_site_fract_z
K1 0.117 0.031 0.000
Cr1 0.000 0.000 0.472
Cr2 0.250 0.590 0.008
O1 0.014 0.722 0.792
O2 0.141 0.051 0.529
O3 0.250 0.698 0.715



Record 11
# KCr3O8 (PBE+U, relaxed)
# offset from the most stable computed form	24	meV/atom
data_KCr3O8
_chemical_formula_sum 'K3 Cr9 O24'
_cell_length_a 5.1428
_cell_length_b 5.1428
_cell_length_c 23.9820
_cell_angle_alpha 90.00
_cell_angle_beta 90.00
_cell_angle_gamma 120.00
_space_group_name_H-M_alt 'R -3'
_space_group_IT_number 148
_space_group_name_Hall '-R 3'
loop_
_atom_site_label
_atom_site_fract_x
_atom_site_fract_y
_atom_site_fract_z
K1 0.0000 0.0000 0.0000
Cr1 0.0000 0.0000 0.2376
Cr2 0.0000 0.0000 0.5000
O1 0.0000 0.0000 0.3057
O2 0.0018 0.3834 0.8826



Record 12
# K3CrO (PBE+U, relaxed)
# E	-3.4121	eV/atom
data_K3CrO
_chemical_formula_sum 'K3 Cr1 O1'
_cell_length_a 5.474
_cell_length_b 5.474
_cell_length_c 5.474
_cell_angle_alpha 90.00
_cell_angle_beta 90.00
_cell_angle_gamma 90.00
_space_group_name_H-M_alt 'P m -3 m'
_space_group_IT_number 221
_space_group_name_Hall '-P 4 2 3'
loop_
_atom_site_label
_atom_site_fract_x
_atom_site_fract_y
_atom_site_fract_z
K1 0.000 0.000 0.500
Cr1 0.500 0.500 0.500
O1 0.000 0.000 0.000